Record 1
Material: Ba2AcZn4
Method: DFT, PBE
State: optimized geometry

abc: 10.109 10.109 6.933
angles: 96.69 96.69 36.24
Sites, in units of the cell vectors:
Ba  0.092  0.290  0.175
Ba  0.290  0.092  0.675
Ba  0.710  0.908  0.325
Ba  0.908  0.710  0.825
Ac  0.231  0.769  0.750
Ac  0.769  0.231  0.250
Zn  0.205  0.657  0.199
Zn  0.287  0.441  0.473
Zn  0.343  0.795  0.301
Zn  0.441  0.287  0.973
Zn  0.559  0.713  0.027
Zn  0.657  0.205  0.699
Zn  0.713  0.559  0.527
Zn  0.795  0.343  0.801

Space group: C2/c, No. 15
DFT formation energy in eV per atom: -0.108

***

Record 2
Material: Ni2Ru2Au
Method: DFT, PBE
State: optimized geometry

abc: 7.266 7.266 2.682
angles: 90.00 90.00 90.00
Sites, in units of the cell vectors:
Ni  0.171  0.329  0.000
Ni  0.329  0.829  0.000
Ni  0.671  0.171  0.000
Ni  0.829  0.671  0.000
Ru  0.123  0.623  0.500
Ru  0.377  0.123  0.500
Ru  0.623  0.877  0.500
Ru  0.877  0.377  0.500
Au  0.000  0.000  0.500
Au  0.500  0.500  0.500

Space group: P4/mbm, No. 127
DFT formation energy in eV per atom: 0.382
Polymorph energy (0 for the lowest one) in meV/atom: 32.7

***

Record 3
Material: Nb3VIr4
Method: DFT, PBE
State: optimized geometry

abc: 4.809 2.849 9.374
angles: 90.00 102.50 90.00
Sites, in units of the cell vectors:
Nb  0.000  0.000  0.000
Nb  0.265  0.000  0.743
Nb  0.735  0.000  0.257
V  0.500  0.000  0.500
Ir  0.000  0.500  0.500
Ir  0.247  0.500  0.257
Ir  0.500  0.500  0.000
Ir  0.753  0.500  0.743

Space group: P2/m, No. 10
DFT formation energy in eV per atom: -0.494

***

Record 4
Material: MgZrSbI2
Method: DFT, PBE
State: optimized geometry

abc: 5.402 5.402 5.680
angles: 90.00 90.00 90.00
Sites, in units of the cell vectors:
Mg  0.000  0.000  0.000
Zr  0.500  0.500  0.500
Sb  0.000  0.000  0.500
I  0.000  0.500  0.000
I  0.500  0.000  0.000

Space group: P4/mmm, No. 123
Polymorph energy (0 for the lowest one) in meV/atom: 472.3

***

no.,total magnetic moment (μB per formula unit)
1,0.0
2,1.3
3,0.0
4,1.2